LiZnB2Pt: relaxed, GGA-PBE.

Lattice parameters (Å, degrees): 4.101 4.101 4.911 90.00 90.00 90.00
Space group P4/mmm (No. 123)
Unique sites:
Li1 0.000 0.000 0.000 [1 per cell]
Zn1 0.500 0.500 0.000 [1 per cell]
B1 0.000 0.500 0.500 [2 per cell]
Pt1 0.500 0.500 0.500 [1 per cell]

The value obtained for the energy of formation from the pure elements is 0.491 eV/atom. As for the calculated volume: 16.52 Å³/atom. The raw total energy comes out at -4.0258 eV/atom. For the total magnetic moment, the calculation gives 0.00 μB/f.u.

=====

Li2ZnB2Pt5: relaxed, GGA-PBE.

Lattice parameters (Å, degrees): 9.369 9.369 3.035 90.00 90.00 90.00
Space group P4/mbm (No. 127)
Unique sites:
Li1 0.174 0.326 0.000 [4 per cell]
Zn1 0.000 0.000 0.000 [2 per cell]
B1 0.128 0.628 0.000 [4 per cell]
Pt1 0.000 0.500 0.500 [2 per cell]
Pt2 0.074 0.786 0.500 [8 per cell]

The value obtained for the energy of formation from the pure elements is -0.534 eV/atom. As for the calculated volume: 13.32 Å³/atom. The raw total energy comes out at -5.4005 eV/atom. For the total magnetic moment, the calculation gives 0.00 μB/f.u.

=====

LiZn2B2Pt5: relaxed, GGA-PBE.

Lattice parameters (Å, degrees): 9.205 9.205 3.113 90.00 90.00 90.00
Space group P4/mbm (No. 127)
Unique sites:
Li1 0.000 0.000 0.000 [2 per cell]
Zn1 0.176 0.324 0.000 [4 per cell]
B1 0.131 0.631 0.000 [4 per cell]
Pt1 0.000 0.500 0.500 [2 per cell]
Pt2 0.076 0.791 0.500 [8 per cell]

The value obtained for the energy of formation from the pure elements is -0.327 eV/atom. As for the calculated volume: 13.19 Å³/atom. The raw total energy comes out at -5.1286 eV/atom. For the total magnetic moment, the calculation gives 0.00 μB/f.u.

=====

LiPuB4: relaxed, GGA-PBE.

Lattice parameters (Å, degrees): 5.879 11.382 3.613 90.00 90.00 90.00
Space group Pbam (No. 55)
Unique sites:
Li1 0.129 0.085 0.000 [4 per cell]
Pu1 0.126 0.350 0.000 [4 per cell]
B1 0.026 0.806 0.500 [4 per cell]
B2 0.114 0.952 0.500 [4 per cell]
B3 0.134 0.532 0.500 [4 per cell]
B4 0.213 0.686 0.500 [4 per cell]

The value obtained for the energy of formation from the pure elements is -0.296 eV/atom. As for the calculated volume: 10.07 Å³/atom. The raw total energy comes out at -7.4556 eV/atom. For the total magnetic moment, the calculation gives 4.49 μB/f.u.

=====

LiPu2B2Rh5: relaxed, GGA-PBE.

Lattice parameters (Å, degrees): 9.558 9.558 3.186 90.00 90.00 90.00
Space group P4/mbm (No. 127)
Unique sites:
Li1 0.000 0.000 0.000 [2 per cell]
Pu1 0.177 0.323 0.000 [4 per cell]
B1 0.124 0.624 0.000 [4 per cell]
Rh1 0.000 0.500 0.500 [2 per cell]
Rh2 0.069 0.779 0.500 [8 per cell]

The value obtained for the energy of formation from the pure elements is -0.464 eV/atom. As for the calculated volume: 14.55 Å³/atom. The raw total energy comes out at -8.5331 eV/atom. For the total magnetic moment, the calculation gives 9.24 μB/f.u.

=====

RbLi2B: relaxed, GGA-PBE.

Lattice parameters (Å, degrees): 6.015 6.015 12.867 90.00 90.00 90.00
Space group I4_1/amd (No. 141, origin choice 2)
Unique sites:
Rb1 0.000 0.250 0.375 [4 per cell]
Li1 0.000 0.000 0.000 [8 per cell]
B1 0.000 0.250 0.875 [4 per cell]

The value obtained for the energy of formation from the pure elements is 0.751 eV/atom. As for the calculated volume: 29.10 Å³/atom. The raw total energy comes out at -2.1168 eV/atom. For the total magnetic moment, the calculation gives 2.00 μB/f.u.

=====

RbLi3B: relaxed, GGA-PBE.

Lattice parameters (Å, degrees): 4.774 4.774 4.774 90.00 90.00 90.00
Space group Pm-3m (No. 221)
Unique sites:
Rb1 0.000 0.000 0.000 [1 per cell]
Li1 0.000 0.500 0.500 [3 per cell]
B1 0.500 0.500 0.500 [1 per cell]

The value obtained for the energy of formation from the pure elements is 0.471 eV/atom. As for the calculated volume: 21.76 Å³/atom. For the energy relative to the lowest polymorph listed for this composition, the calculation gives 0.000 eV per atom. The raw total energy comes out at -2.2061 eV/atom. For the total magnetic moment, the calculation gives 1.00 μB/f.u.

=====

Rb3LiB: relaxed, GGA-PBE.

Lattice parameters (Å, degrees): 6.531 6.531 6.531 90.00 90.00 90.00
Space group Pm-3m (No. 221)
Unique sites:
Rb1 0.000 0.000 0.500 [3 per cell]
Li1 0.500 0.500 0.500 [1 per cell]
B1 0.000 0.000 0.000 [1 per cell]

The value obtained for the energy of formation from the pure elements is 0.857 eV/atom. As for the calculated volume: 55.72 Å³/atom. For the energy relative to the lowest polymorph listed for this composition, the calculation gives 0.000 eV per atom. The raw total energy comes out at -1.4418 eV/atom. For the total magnetic moment, the calculation gives 2.74 μB/f.u.

=====

Rb2LiB: relaxed, GGA-PBE.

Lattice parameters (Å, degrees): 12.591 12.591 4.580 90.00 90.00 90.00
Space group I-42d (No. 122)
Unique sites:
Rb1 0.061 0.250 0.125 [8 per cell]
Li1 0.000 0.000 0.500 [4 per cell]
B1 0.000 0.000 0.000 [4 per cell]

The value obtained for the energy of formation from the pure elements is 0.822 eV/atom. As for the calculated volume: 45.38 Å³/atom. The raw total energy comes out at -1.8094 eV/atom. For the total magnetic moment, the calculation gives 1.85 μB/f.u.

=====

RbLi3B: relaxed, GGA-PBE.

Lattice parameters (Å, degrees): 5.413 5.413 5.413 90.00 90.00 90.00
Space group Pm-3m (No. 221)
Unique sites:
Rb1 0.000 0.000 0.000 [1 per cell]
Li1 0.000 0.000 0.500 [3 per cell]
B1 0.500 0.500 0.500 [1 per cell]

The value obtained for the energy of formation from the pure elements is 1.707 eV/atom. As for the calculated volume: 31.72 Å³/atom. For the energy relative to the lowest polymorph listed for this composition, the calculation gives 1.236 eV per atom. The raw total energy comes out at -0.9703 eV/atom. For the total magnetic moment, the calculation gives 0.00 μB/f.u.

=====

RbLiReB2: relaxed, GGA-PBE.

Lattice parameters (Å, degrees): 4.383 4.383 4.547 90.00 90.00 90.00
Space group P4/mmm (No. 123)
Unique sites:
Rb1 0.000 0.000 0.000 [1 per cell]
Li1 0.500 0.500 0.500 [1 per cell]
Re1 0.500 0.500 0.000 [1 per cell]
B1 0.000 0.500 0.500 [2 per cell]

The value obtained for the energy of formation from the pure elements is 2.395 eV/atom. As for the calculated volume: 17.47 Å³/atom. The raw total energy comes out at -3.3422 eV/atom. For the total magnetic moment, the calculation gives 2.55 μB/f.u.

=====

RbLiSc2B: relaxed, GGA-PBE.

Lattice parameters (Å, degrees): 4.814 4.814 5.446 90.00 90.00 90.00
Space group P4/mmm (No. 123)
Unique sites:
Rb1 0.000 0.000 0.000 [1 per cell]
Li1 0.500 0.500 0.000 [1 per cell]
Sc1 0.000 0.500 0.500 [2 per cell]
B1 0.500 0.500 0.500 [1 per cell]

The value obtained for the energy of formation from the pure elements is 0.450 eV/atom. As for the calculated volume: 25.25 Å³/atom. The raw total energy comes out at -3.9948 eV/atom. For the total magnetic moment, the calculation gives 0.00 μB/f.u.

=====

RbLi2ScB: relaxed, GGA-PBE.

Lattice parameters (Å, degrees): 5.083 5.083 4.646 90.00 90.00 90.00
Space group P4/mmm (No. 123)
Unique sites:
Rb1 0.000 0.000 0.000 [1 per cell]
Li1 0.000 0.500 0.500 [2 per cell]
Sc1 0.500 0.500 0.000 [1 per cell]
B1 0.500 0.500 0.500 [1 per cell]

The value obtained for the energy of formation from the pure elements is 0.481 eV/atom. As for the calculated volume: 24.00 Å³/atom. The raw total energy comes out at -3.0803 eV/atom. For the total magnetic moment, the calculation gives 1.13 μB/f.u.

=====

RbLiTlB2: relaxed, GGA-PBE.

Lattice parameters (Å, degrees): 4.774 4.774 6.339 90.00 90.00 90.00
Space group P4/mmm (No. 123)
Unique sites:
Rb1 0.000 0.000 0.000 [1 per cell]
Li1 0.500 0.500 0.000 [1 per cell]
Tl1 0.000 0.000 0.500 [1 per cell]
B1 0.000 0.500 0.500 [2 per cell]

The value obtained for the energy of formation from the pure elements is 1.721 eV/atom. As for the calculated volume: 28.90 Å³/atom. The raw total energy comes out at -1.9991 eV/atom. For the total magnetic moment, the calculation gives 0.00 μB/f.u.

=====

Rb2LiTlB: relaxed, GGA-PBE.

Lattice parameters (Å, degrees): 7.283 7.283 4.176 90.00 90.00 90.00
Space group P4/mmm (No. 123)
Unique sites:
Rb1 0.000 0.500 0.000 [2 per cell]
Li1 0.000 0.000 0.500 [1 per cell]
Tl1 0.500 0.500 0.000 [1 per cell]
B1 0.500 0.500 0.500 [1 per cell]

The value obtained for the energy of formation from the pure elements is 0.643 eV/atom. As for the calculated volume: 44.30 Å³/atom. The raw total energy comes out at -1.9358 eV/atom. For the total magnetic moment, the calculation gives 0.00 μB/f.u.

=====

RbLiB2W: relaxed, GGA-PBE.

Lattice parameters (Å, degrees): 5.049 5.049 5.716 90.00 90.00 90.00
Space group P4/mmm (No. 123)
Unique sites:
Rb1 0.000 0.000 0.000 [1 per cell]
Li1 0.500 0.500 0.500 [1 per cell]
B1 0.000 0.500 0.000 [2 per cell]
W1 0.000 0.000 0.500 [1 per cell]

The value obtained for the energy of formation from the pure elements is 3.523 eV/atom. As for the calculated volume: 29.14 Å³/atom. The raw total energy comes out at -2.3153 eV/atom. For the total magnetic moment, the calculation gives 3.50 μB/f.u.

=====

RbLiZn2B: relaxed, GGA-PBE.

Lattice parameters (Å, degrees): 6.540 6.540 6.843 90.00 90.00 90.00
Space group P4/mmm (No. 123)
Unique sites:
Rb1 0.000 0.000 0.000 [1 per cell]
Li1 0.000 0.000 0.500 [1 per cell]
Zn1 0.000 0.500 0.000 [2 per cell]
B1 0.500 0.500 0.500 [1 per cell]

The value obtained for the energy of formation from the pure elements is 1.812 eV/atom. As for the calculated volume: 58.53 Å³/atom. The raw total energy comes out at -0.6089 eV/atom. For the total magnetic moment, the calculation gives 0.95 μB/f.u.

=====

RbLiZr2B: relaxed, GGA-PBE.

Lattice parameters (Å, degrees): 4.887 4.887 4.563 90.00 90.00 90.00
Space group P4/mmm (No. 123)
Unique sites:
Rb1 0.000 0.000 0.000 [1 per cell]
Li1 0.000 0.000 0.500 [1 per cell]
Zr1 0.000 0.500 0.500 [2 per cell]
B1 0.500 0.500 0.000 [1 per cell]

The value obtained for the energy of formation from the pure elements is 1.877 eV/atom. As for the calculated volume: 21.79 Å³/atom. The raw total energy comes out at -3.4536 eV/atom. For the total magnetic moment, the calculation gives 0.00 μB/f.u.

=====

Li3ReB: relaxed, GGA-PBE.

Lattice parameters (Å, degrees): 3.908 3.908 3.908 90.00 90.00 90.00
Space group Pm-3m (No. 221)
Unique sites:
Li1 0.000 0.000 0.500 [3 per cell]
Re1 0.500 0.500 0.500 [1 per cell]
B1 0.000 0.000 0.000 [1 per cell]

The value obtained for the energy of formation from the pure elements is 1.252 eV/atom. As for the calculated volume: 11.93 Å³/atom. For the energy relative to the lowest polymorph listed for this composition, the calculation gives 0.000 eV per atom. The raw total energy comes out at -3.7209 eV/atom. For the total magnetic moment, the calculation gives 0.97 μB/f.u.

=====

LiReB3: relaxed, GGA-PBE.

Lattice parameters (Å, degrees): 3.522 3.522 3.522 90.00 90.00 90.00
Space group Pm-3m (No. 221)
Unique sites:
Li1 0.000 0.000 0.000 [1 per cell]
Re1 0.500 0.500 0.500 [1 per cell]
B1 0.000 0.000 0.500 [3 per cell]

The value obtained for the energy of formation from the pure elements is 1.813 eV/atom. As for the calculated volume: 8.73 Å³/atom. For the energy relative to the lowest polymorph listed for this composition, the calculation gives 1.171 eV per atom. The raw total energy comes out at -5.0659 eV/atom. For the total magnetic moment, the calculation gives 0.00 μB/f.u.

=====

Li3ReB: relaxed, GGA-PBE.

Lattice parameters (Å, degrees): 4.843 4.843 4.843 90.00 90.00 90.00
Space group Pm-3m (No. 221)
Unique sites:
Li1 0.000 0.000 0.500 [3 per cell]
Re1 0.000 0.000 0.000 [1 per cell]
B1 0.500 0.500 0.500 [1 per cell]

The value obtained for the energy of formation from the pure elements is 2.179 eV/atom. As for the calculated volume: 22.72 Å³/atom. For the energy relative to the lowest polymorph listed for this composition, the calculation gives 0.927 eV per atom. The raw total energy comes out at -2.7940 eV/atom. For the total magnetic moment, the calculation gives 1.96 μB/f.u.

=====

LiReB2: relaxed, GGA-PBE.

Lattice parameters (Å, degrees): 5.306 5.306 5.306 90.00 90.00 90.00
Space group Fm-3m (No. 225)
Unique sites:
Li1 0.000 0.000 0.000 [4 per cell]
Re1 0.000 0.000 0.500 [4 per cell]
B1 0.250 0.250 0.250 [8 per cell]

The value obtained for the energy of formation from the pure elements is 0.456 eV/atom. As for the calculated volume: 9.34 Å³/atom. For the energy relative to the lowest polymorph listed for this composition, the calculation gives 0.000 eV per atom. The raw total energy comes out at -6.4730 eV/atom. For the total magnetic moment, the calculation gives 0.00 μB/f.u.

=====

LiReB4: relaxed, GGA-PBE.

Lattice parameters (Å, degrees): 2.998 5.240 6.269 90.00 90.00 90.00
Space group Immm (No. 71)
Unique sites:
Li1 0.000 0.000 0.000 [2 per cell]
Re1 0.000 0.000 0.500 [2 per cell]
B1 0.000 0.341 0.257 [8 per cell]

The value obtained for the energy of formation from the pure elements is -0.218 eV/atom. As for the calculated volume: 8.21 Å³/atom. The raw total energy comes out at -7.0637 eV/atom. For the total magnetic moment, the calculation gives 0.00 μB/f.u.

=====

LiReB3: relaxed, GGA-PBE.

Lattice parameters (Å, degrees): 4.125 4.125 4.125 90.00 90.00 90.00
Space group Pm-3m (No. 221)
Unique sites:
Li1 0.000 0.000 0.000 [1 per cell]
Re1 0.500 0.500 0.500 [1 per cell]
B1 0.000 0.500 0.500 [3 per cell]

The value obtained for the energy of formation from the pure elements is 0.642 eV/atom. As for the calculated volume: 14.04 Å³/atom. For the energy relative to the lowest polymorph listed for this composition, the calculation gives 0.000 eV per atom. The raw total energy comes out at -6.2373 eV/atom. For the total magnetic moment, the calculation gives 0.00 μB/f.u.